Record 1
Computed, not measured: crystalline Mg2Fe2Hg at its relaxed geometry at the PBE-GGA level of DFT. Values from VASP.

Summary:
Theoretical density   6.935 g/cm³
Space group   No. 127
Polymorph energy (0 for the lowest one)   0 meV/atom
Crystal system   tetragonal
E   -0.2836 Ry/atom

Structure (Quantum ESPRESSO input):
```
&SYSTEM
  ibrav = 0, nat = 10, ntyp = 3
/
ATOMIC_SPECIES
Mg 24.30 Mg.upf
Hg 200.59 Hg.upf
Fe 55.84 Fe.upf
CELL_PARAMETERS angstrom
6.7562 0.0000 0.0000
0.0000 6.7562 0.0000
0.0000 0.0000 3.7861
ATOMIC_POSITIONS angstrom
Mg 1.1805 4.5586 1.8930
Mg 4.5586 5.5757 1.8930
Mg 5.5757 2.1976 1.8930
Mg 2.1976 1.1805 1.8930
Hg 0.0000 0.0000 0.0000
Hg 3.3781 3.3781 0.0000
Fe 2.6073 5.9854 0.0000
Fe 5.9854 4.1489 0.0000
Fe 4.1489 0.7708 0.0000
Fe 0.7708 2.6073 0.0000
```



Record 2
Computed, not measured: crystalline MgFeHg2 at its relaxed geometry at the PBE-GGA level of DFT. Values from VASP.

Summary:
Theoretical density   10.506 g/cm³
Space group   No. 216
Crystal system   cubic
E   -0.1716 Ry/atom

Structure (Quantum ESPRESSO input):
```
&SYSTEM
  ibrav = 0, nat = 4, ntyp = 3
/
ATOMIC_SPECIES
Fe 55.84 Fe.upf
Hg 200.59 Hg.upf
Mg 24.30 Mg.upf
CELL_PARAMETERS angstrom
4.7561 0.0000 0.0000
2.3781 4.1189 0.0000
2.3781 1.3730 3.8834
ATOMIC_POSITIONS angstrom
Fe 4.7561 2.7459 1.9417
Hg 0.0000 0.0000 0.0000
Hg 2.3781 1.3730 0.9708
Mg 7.1342 4.1189 2.9125
```



Record 3
Computed, not measured: crystalline Mg3FeHg at its relaxed geometry at the PBE-GGA level of DFT. Values from VASP.

Summary:
Theoretical density   4.496 g/cm³
Space group   No. 221
Polymorph energy (0 for the lowest one)   0 meV/atom
Crystal system   cubic
E   -0.1629 Ry/atom

Structure (Quantum ESPRESSO input):
```
&SYSTEM
  ibrav = 0, nat = 5, ntyp = 3
/
ATOMIC_SPECIES
Mg 24.30 Mg.upf
Hg 200.59 Hg.upf
Fe 55.84 Fe.upf
CELL_PARAMETERS angstrom
4.9549 0.0000 0.0000
0.0000 4.9549 0.0000
0.0000 0.0000 4.9549
ATOMIC_POSITIONS angstrom
Mg 0.0000 2.4774 0.0000
Mg 0.0000 0.0000 2.4774
Mg 2.4774 0.0000 0.0000
Hg 2.4774 2.4774 2.4774
Fe 0.0000 0.0000 0.0000
```



Record 4
Computed, not measured: crystalline MgFeHg2 at its relaxed geometry at the PBE-GGA level of DFT. Values from VASP.

Summary:
Theoretical density   10.634 g/cm³
Space group   No. 123
Crystal system   tetragonal
E   -0.1826 Ry/atom

Structure (Quantum ESPRESSO input):
```
&SYSTEM
  ibrav = 0, nat = 4, ntyp = 3
/
ATOMIC_SPECIES
Fe 55.84 Fe.upf
Hg 200.59 Hg.upf
Mg 24.30 Mg.upf
CELL_PARAMETERS angstrom
-0.4617 1.6784 -2.6715
0.4717 -2.6329 -1.7355
-7.2326 -1.4990 0.3081
ATOMIC_POSITIONS angstrom
Fe -5.4194 -1.6015 -1.9724
Hg -7.1171 -1.4750 0.3032
Hg -3.7319 -0.7734 0.1590
Mg -1.8031 -0.8520 -2.1265
```



Record 5
Computed, not measured: crystalline MgFeHg2 at its relaxed geometry at the PBE-GGA level of DFT. Values from VASP.

Summary:
Theoretical density   10.228 g/cm³
Space group   No. 12
Crystal system   monoclinic
E   -0.1777 Ry/atom

Structure (Quantum ESPRESSO input):
```
&SYSTEM
  ibrav = 0, nat = 4, ntyp = 3
/
ATOMIC_SPECIES
Fe 55.84 Fe.upf
Hg 200.59 Hg.upf
Mg 24.30 Mg.upf
CELL_PARAMETERS angstrom
4.8900 0.0281 -0.0011
3.8724 2.9862 -0.0011
1.0414 0.3582 5.3914
ATOMIC_POSITIONS angstrom
Fe 2.4509 0.8431 1.3473
Hg 8.7246 3.0013 0.0679
Hg 4.9396 1.6992 2.6246
Mg 7.3528 2.5294 4.0420
```



Record 6
Computed, not measured: crystalline MgFeHg2 at its relaxed geometry at the PBE-GGA level of DFT. Values from VASP.

Summary:
Theoretical density   10.496 g/cm³
Space group   No. 25
Crystal system   orthorhombic
E   -0.1795 Ry/atom

Structure (Quantum ESPRESSO input):
```
&SYSTEM
  ibrav = 0, nat = 4, ntyp = 3
/
ATOMIC_SPECIES
Fe 55.84 Fe.upf
Hg 200.59 Hg.upf
Mg 24.30 Mg.upf
CELL_PARAMETERS angstrom
-1.6085 1.3749 2.4861
-3.1696 -1.2253 -1.3731
0.6161 -5.3659 3.3661
ATOMIC_POSITIONS angstrom
Fe -1.9287 -3.9348 3.0718
Hg 0.5936 -5.1699 3.2431
Hg -2.2224 -1.3764 1.4669
Mg 0.3197 -2.7841 1.7465
```



Record 7
Computed, not measured: crystalline MgFeHg2 at its relaxed geometry at the PBE-GGA level of DFT. Values from VASP.

Summary:
Theoretical density   10.317 g/cm³
Space group   No. 35
Crystal system   orthorhombic
E   -0.1802 Ry/atom

Structure (Quantum ESPRESSO input):
```
&SYSTEM
  ibrav = 0, nat = 4, ntyp = 3
/
ATOMIC_SPECIES
Fe 55.84 Fe.upf
Hg 200.59 Hg.upf
Mg 24.30 Mg.upf
CELL_PARAMETERS angstrom
2.9997 0.0165 0.0000
-0.0540 2.9993 0.0000
0.0000 0.0000 8.6101
ATOMIC_POSITIONS angstrom
Fe 1.4728 1.5079 6.3883
Hg 0.0000 0.0000 8.2705
Hg 1.4728 1.5079 2.2876
Mg 0.0000 0.0000 4.5790
```



Record 8
Computed, not measured: crystalline MgFeHgRh2 at its relaxed geometry at the PBE-GGA level of DFT. Values from VASP.

Summary:
Theoretical density   8.684 g/cm³
Space group   No. 123
Crystal system   tetragonal
E   -0.2924 Ry/atom

Structure (Quantum ESPRESSO input):
```
&SYSTEM
  ibrav = 0, nat = 5, ntyp = 4
/
ATOMIC_SPECIES
Mg 24.30 Mg.upf
Rh 102.91 Rh.upf
Hg 200.59 Hg.upf
Fe 55.84 Fe.upf
CELL_PARAMETERS angstrom
4.5532 0.0000 0.0000
0.0000 4.4876 0.0000
0.0000 0.0000 4.5532
ATOMIC_POSITIONS angstrom
Mg 0.0000 0.0000 0.0000
Rh 0.0000 0.0000 2.2766
Rh 2.2766 0.0000 0.0000
Hg 2.2766 2.2438 2.2766
Fe 0.0000 2.2438 0.0000
```



- Number 4 is which compound?
  MgFeHg2